Compound: Ac2Hg2BiSe2
Source: Alexandria
Functional: GGA-PBE
Structure: optimized geometry

a = 5.0124 Å, b = 5.0124 Å, c = 13.8698 Å
α = 90.00°, β = 90.00°, γ = 120.00°
Atoms (fractional coordinates):
Hg1 0.0000 0.0000 0.7910
Bi1 0.0000 0.0000 0.0000
Se1 0.3333 0.6667 0.4169
Ac1 0.6667 0.3333 0.3575
Ac2 0.3333 0.6667 0.6425
Se2 0.6667 0.3333 0.5831
Hg2 0.0000 0.0000 0.2090

As for the space group: P-3m1 (164). The crystal system is trigonal. The calculation puts the total magnetic moment at 0.0 μB per cell. The formation energy from raw total energies comes out at -0.7331 eV/atom.


Compound: AcSnHgBi
Source: Alexandria
Functional: GGA-PBE
Structure: optimized geometry

a = 4.8098 Å, b = 4.8446 Å, c = 5.2818 Å
α = 90.00°, β = 90.00°, γ = 90.00°
Atoms (fractional coordinates):
Hg1 0.5000 0.0000 0.5000
Sn1 0.0000 0.0000 0.0000
Bi1 0.5000 0.5000 0.0000
Ac1 0.0000 0.5000 0.5000

As for the space group: Pmmm (47). The crystal system is orthorhombic. As for the polymorph energy (0 for the lowest one): 0.00 kJ per mole of atoms. The calculation puts the total magnetic moment at 0.0 μB per cell.


Compound: Ac2Sn3Hg6Bi
Source: Alexandria
Functional: GGA-PBE
Structure: optimized geometry

a = 4.7845 Å, b = 4.7845 Å, c = 20.1221 Å
α = 90.00°, β = 90.00°, γ = 90.00°
Atoms (fractional coordinates):
Hg1 0.5000 0.0000 0.3981
Hg2 0.0000 0.0000 0.8615
Ac1 0.5000 0.5000 0.7271
Hg3 0.0000 0.5000 0.3981
Bi1 0.5000 0.5000 0.5000
Hg4 0.0000 0.0000 0.1385
Sn1 0.0000 0.0000 0.0000
Hg5 0.5000 0.0000 0.6019
Ac2 0.5000 0.5000 0.2729
Sn2 0.0000 0.0000 0.2784
Sn3 0.0000 0.0000 0.7216
Hg6 0.0000 0.5000 0.6019

As for the space group: P4/mmm (123). The crystal system is tetragonal. Its calculated total energy is -2.183 eV per atom. The calculation puts the total magnetic moment at 0.0 μB per cell.


Compound: AcSnHgBi
Source: Alexandria
Functional: GGA-PBE
Structure: optimized geometry

a = 5.6198 Å, b = 5.6198 Å, c = 5.6198 Å
α = 60.00°, β = 60.00°, γ = 60.00°
Atoms (fractional coordinates):
Ac1 0.7500 0.7500 0.7500
Hg1 0.0000 0.0000 0.0000
Sn1 0.5000 0.5000 0.5000
Bi1 0.2500 0.2500 0.2500

As for the space group: F-43m (216). The crystal system is cubic. As for the polymorph energy (0 for the lowest one): 13.72 kJ per mole of atoms. The calculation puts the total magnetic moment at 0.0 μB per cell.


Compound: SrAcHgBi
Source: Alexandria
Functional: GGA-PBE
Structure: optimized geometry

a = 5.8069 Å, b = 5.8069 Å, c = 5.8069 Å
α = 60.00°, β = 60.00°, γ = 60.00°
Atoms (fractional coordinates):
Bi1 0.5000 0.5000 0.5000
Ac1 0.7500 0.7500 0.7500
Sr1 0.2500 0.2500 0.2500
Hg1 0.0000 0.0000 0.0000

As for the space group: F-43m (216). The crystal system is cubic. Its calculated total energy is -3.104 eV per atom. The calculation puts the total magnetic moment at 0.0 μB per cell.


Compound: AcTbHgBi
Source: Alexandria
Functional: GGA-PBE
Structure: optimized geometry

a = 5.6230 Å, b = 5.6230 Å, c = 5.6230 Å
α = 60.00°, β = 60.00°, γ = 60.00°
Atoms (fractional coordinates):
Hg1 0.2500 0.2500 0.2500
Bi1 0.7500 0.7500 0.7500
Ac1 0.0000 0.0000 0.0000
Tb1 0.5000 0.5000 0.5000

As for the space group: F-43m (216). The crystal system is cubic. Its calculated total energy is -3.741 eV per atom. The calculation puts the total magnetic moment at 0.0 μB per cell.


> What is the total magnetic moment in the sixth record?

0.0 μB per cell